[1]
A geometry-optimized YEr2Zr structure, computed with PBE.

```
YEr2Zr
1.0
1.6741 0.9666 11.9203
-1.6741 0.9666 11.9203
0.0000 -1.9331 11.9203
Y Er Zr
1 2 1
Cartesian
0.0000 0.0000 0.0000
0.0000 0.0000 14.7891
0.0000 0.0000 20.9719
0.0000 0.0000 17.8805
```

Output
ΔE_f: 302 meV/atom
total energy: -5.733 eV per atom
magnetic moment: 0.0 μB/cell
Fermi-level density of states: 5.9 states/eV/f.u.
distance to the lowest polymorph of the same formula: 238 meV per atom

[2]
A geometry-optimized Tm3TcGe2 structure, computed with PBE.

```
Tm3TcGe2
1.0
-2.8771 7.6469 2.8947
2.8771 -7.6469 2.8947
2.8771 7.6469 -2.8947
Tm Tc Ge
6 2 4
Cartesian
4.2739 2.7139 0.0000
0.0000 0.0000 1.4474
1.3968 4.9330 0.0000
1.4803 2.7139 2.8947
0.0000 0.0000 4.3421
-1.3968 4.9330 2.8947
2.8771 0.0000 1.4474
0.0000 7.6469 1.4474
1.5525 1.9513 0.0000
1.5525 -1.9513 2.8947
1.3246 9.5982 0.0000
1.3246 5.6956 2.8947
```

Output
ΔE_f: -560 meV/atom
total energy: -6.062 eV per atom
magnetic moment: 0.0 μB/cell
Fermi-level density of states: 4.1 states/eV/f.u.

[3]
A geometry-optimized LiMnCo2 structure, computed with PBE.

```
LiMnCo2
1.0
-1.3662 2.0648 4.1772
1.3662 -2.0648 4.1772
1.3662 2.0648 -4.1772
Li Mn Co
1 1 2
Cartesian
0.0000 0.0000 0.0000
1.3662 0.0000 2.2518
0.0000 0.0000 4.3344
0.0000 2.0648 2.0840
```

Output
ΔE_f: 177 meV/atom
total energy: -6.147 eV per atom
magnetic moment: 6.1 μB/cell
Fermi-level density of states: 2.7 states/eV/f.u.
distance to the lowest polymorph of the same formula: 30 meV per atom

Question: total energy of number 2 (Tm3TcGe2)?
Answer: -6.062 eV per atom